Entry 1:
Below is an optimized crystal structure of CeSc3Tl4, with properties calculated at the PBE level.

It has space group P4/mmm (No. 123), with a = 5.180 Å, b = 5.180 Å, c = 7.510 Å, α = 90.00°, β = 90.00° and γ = 90.00°. The asymmetric unit holds Ce at (0.000, 0.000, 0.000), Sc at (0.000, 0.000, 0.500), Sc at (0.500, 0.500, 0.000), Sc at (0.500, 0.500, 0.500) and Tl at (0.000, 0.500, 0.265).

Its density of states at the Fermi level is 1.538 states/eV/atom. The value obtained for the formation energy is -0.23 eV/atom. For the energy, the calculation gives -4.534 eV/atom.

Entry 2:
Below is an optimized crystal structure of SrAlZn2Fe, with properties calculated at the PBE level.

It has space group P4/mmm (No. 123), with a = 4.745 Å, b = 4.745 Å, c = 4.558 Å, α = 90.00°, β = 90.00° and γ = 90.00°. The asymmetric unit holds Sr at (0.000, 0.000, 0.000), Al at (0.500, 0.500, 0.000), Zn at (0.000, 0.500, 0.500) and Fe at (0.500, 0.500, 0.500).

Its density of states at the Fermi level is 0.522 states/eV/atom. The value obtained for the formation energy is -0.08 eV/atom. For the energy, the calculation gives -3.365 eV/atom.

Entry 3:
Below is an optimized crystal structure of Sb2AsRu, with properties calculated at the PBE level.

It has space group Pmmm (No. 47), with a = 3.483 Å, b = 4.582 Å, c = 5.174 Å, α = 90.00°, β = 90.00° and γ = 90.00°. The asymmetric unit holds Sb at (0.000, 0.000, 0.000), Sb at (0.500, 0.000, 0.500), As at (0.000, 0.500, 0.500) and Ru at (0.500, 0.500, 0.000).

The value obtained for the uncorrected formation energy is 207 kJ/mol of formula units. Its density of states at the Fermi level is 1.014 states/eV/atom. For the energy, the calculation gives -5.007 eV/atom.

What did the third record say?
Below is an optimized crystal structure of Sb2AsRu, with properties calculated at the PBE level.

It has space group Pmmm (No. 47), with a = 3.483 Å, b = 4.582 Å, c = 5.174 Å, α = 90.00°, β = 90.00° and γ = 90.00°. The asymmetric unit holds Sb at (0.000, 0.000, 0.000), Sb at (0.500, 0.000, 0.500), As at (0.000, 0.500, 0.500) and Ru at (0.500, 0.500, 0.000).

The value obtained for the uncorrected formation energy is 207 kJ/mol of formula units. Its density of states at the Fermi level is 1.014 states/eV/atom. For the energy, the calculation gives -5.007 eV/atom.

> Which of these has the lowest energy?

Sb2AsRu